[1]
Compound: In4Ir3Rh
Source: the Alexandria database
Functional: PBE
Structure: relaxed

Cell and atoms, written as POSCAR:
```
In4Ir3Rh
1.0
4.484 0.000 -1.210
-0.323 4.477 -1.195
-0.482 -0.549 7.127
Ir In Rh
3 4 1
direct
0.751 0.251 0.502 Ir
0.000 0.500 0.000 Ir
0.249 0.749 0.498 Ir
0.124 0.124 0.248 In
0.876 0.876 0.752 In
0.376 0.376 0.752 In
0.624 0.624 0.248 In
0.500 0.000 0.000 Rh
```

* formation energy from the elements: -0.13 eV per atom
* space group: C2/m, No. 12
* D(E_F): 4.16 states/eV per cell

[2]
Compound: ScNb2Au
Source: the Alexandria database
Functional: PBE
Structure: relaxed

Cell and atoms, written as POSCAR:
```
ScNb2Au
1.0
-4.013 -1.927 1.560
-0.984 0.010 4.614
-3.446 2.755 1.671
Au Nb Sc
1 2 1
direct
0.500 0.500 0.500 Au
0.750 0.750 0.750 Nb
0.250 0.250 0.250 Nb
0.000 0.000 0.000 Sc
```

* formation energy from the elements: 0.19 eV per atom
* space group: Fm-3m, No. 225
* D(E_F): 2.80 states/eV per cell
* polymorph energy (0 for the lowest one): 0 meV/atom

[3]
Compound: LaCl
Source: the Alexandria database
Functional: PBE
Structure: relaxed

Cell and atoms, written as POSCAR:
```
LaCl
1.0
-2.556 2.818 9.700
-6.125 3.273 7.767
-4.997 -0.406 9.134
Cl La
2 2
direct
0.769 0.769 0.769 Cl
0.981 0.981 0.981 Cl
0.257 0.257 0.257 La
0.493 0.493 0.493 La
```

* space group: R-3m, No. 166
* D(E_F): 1.15 states/eV per cell
* uncorrected formation energy: -1491 meV per atom

[4]
Compound: SmHoLuGa
Source: the Alexandria database
Functional: PBE
Structure: relaxed

Cell and atoms, written as POSCAR:
```
SmHoLuGa
1.0
-3.698 -3.718 0.830
1.430 -4.854 1.605
-1.100 -1.592 4.944
Ga Sm Ho Lu
1 1 1 1
direct
0.250 0.250 0.250 Ga
0.500 0.500 0.500 Sm
0.000 0.000 0.000 Ho
0.750 0.750 0.750 Lu
```

* formation energy from the elements: -0.11 eV per atom
* space group: F-43m, No. 216
* D(E_F): 6.42 states/eV per cell

[5]
Compound: K2BeNi
Source: the Alexandria database
Functional: PBE
Structure: relaxed

Cell and atoms, written as POSCAR:
```
K2BeNi
1.0
-0.927 2.091 3.541
1.460 -3.225 2.287
10.322 3.957 2.874
Be K Ni
2 4 2
direct
0.250 0.750 0.500 Be
0.500 0.500 0.000 Be
0.120 0.625 0.250 K
0.630 0.125 0.250 K
0.875 0.880 0.750 K
0.375 0.370 0.750 K
0.750 0.250 0.500 Ni
0.000 0.000 0.000 Ni
```

* formation energy from the elements: 1.23 eV per atom
* space group: I-42d, No. 122
* D(E_F): 4.02 states/eV per cell